Record 1
Material: Pm3PtRh
Method: DFT, PBE-GGA
State: relaxed

Lattice parameters (Å, degrees): 8.043 4.109 15.963 90.00 90.00 90.00
Space group Pnma (No. 62)
Asymmetric unit:
Pm 0.022 0.250 0.099 [4 per cell]
Pm 0.133 0.750 0.435 [4 per cell]
Pm 0.172 0.250 0.721 [4 per cell]
Pt 0.109 0.250 0.291 [4 per cell]
Rh 0.243 0.750 0.043 [4 per cell]

Results
The calculated volume comes out at 26.4 Å³ per atom. As for the total magnetization: 0.00 μB per cell. As for the theoretical density: 9.2 Mg/m³. The formation enthalpy at 0 K is -0.81 eV per atom.


Record 2
Material: Ce2TcAu
Method: DFT, PBE-GGA
State: relaxed

Lattice parameters (Å, degrees): 3.423 3.423 7.716 90.00 90.00 90.00
Space group P4/mmm (No. 123)
Asymmetric unit:
Ce 0.000 0.000 0.225 [2 per cell]
Tc 0.500 0.500 0.000 [1 per cell]
Au 0.500 0.500 0.500 [1 per cell]

Results
The calculated volume comes out at 22.6 Å³ per atom. As for the total magnetization: 0.83 μB per cell. As for the theoretical density: 10.6 Mg/m³. The formation enthalpy at 0 K is -0.33 eV per atom.


Record 3
Material: FeNiTe2
Method: DFT, PBE-GGA
State: relaxed

Lattice parameters (Å, degrees): 5.044 3.655 5.280 90.00 91.99 90.00
Space group P2/m (No. 10)
Asymmetric unit:
Fe 0.000 0.000 0.000 [1 per cell]
Ni 0.500 0.000 0.000 [1 per cell]
Te 0.259 0.500 0.747 [2 per cell]

Results
The calculated volume comes out at 24.3 Å³ per atom. As for the total magnetization: 2.67 μB per cell. As for the theoretical density: 6.3 Mg/m³. The calculation puts the uncorrected formation energy at 0.66 eV per formula unit.


Record 4
Material: TlCdF3
Method: DFT, PBE-GGA
State: relaxed

Lattice parameters (Å, degrees): 5.984 13.585 6.040 90.00 90.00 90.00
Space group Cmcm (No. 63)
Asymmetric unit:
Tl 0.000 0.142 0.250 [4 per cell]
Cd 0.000 0.389 0.250 [4 per cell]
F 0.000 0.500 0.000 [4 per cell]
F 0.242 0.218 0.750 [8 per cell]

Results
The calculated volume comes out at 24.5 Å³ per atom. As for the total magnetization: 0.00 μB per cell. As for the theoretical density: 5.1 Mg/m³. The calculation puts the uncorrected formation energy at -9.13 eV per formula unit.


Record 5
Material: CaCo3P2
Method: DFT, PBE-GGA
State: relaxed

Lattice parameters (Å, degrees): 14.892 3.649 9.136 90.00 106.74 90.00
Space group C2/m (No. 12)
Asymmetric unit:
Ca 0.000 0.000 0.000 [2 per cell]
Ca 0.157 0.000 0.702 [4 per cell]
Co 0.000 0.500 0.500 [2 per cell]
Co 0.046 0.000 0.336 [4 per cell]
Co 0.128 0.500 0.212 [4 per cell]
Co 0.180 0.500 0.970 [4 per cell]
Co 0.217 0.000 0.397 [4 per cell]
P 0.032 0.500 0.775 [4 per cell]
P 0.140 0.500 0.454 [4 per cell]
P 0.197 0.000 0.132 [4 per cell]

Results
The calculated volume comes out at 13.2 Å³ per atom. As for the total magnetization: 0.00 μB per cell. As for the theoretical density: 5.8 Mg/m³. The formation enthalpy at 0 K is -0.72 eV per atom.


Record 6
Material: Hf4NbH8
Method: DFT, PBE-GGA
State: relaxed

Lattice parameters (Å, degrees): 5.110 5.110 5.110 90.00 90.00 90.00
Space group Pm-3m (No. 221)
Asymmetric unit:
Hf 0.000 0.000 0.000 [1 per cell]
Hf 0.000 0.500 0.500 [3 per cell]
Nb 0.500 0.500 0.500 [1 per cell]
H 0.241 0.241 0.241 [8 per cell]

Results
The calculated volume comes out at 10.3 Å³ per atom. As for the total magnetization: 0.00 μB per cell. As for the theoretical density: 10.1 Mg/m³. The total energy is -5.824 eV/atom.


Record 7
Material: K5Br2Cl2
Method: DFT, PBE-GGA
State: relaxed

Lattice parameters (Å, degrees): 16.921 8.895 8.946 90.00 90.00 90.00
Space group Cmce (No. 64)
Asymmetric unit:
K 0.000 0.000 0.000 [4 per cell]
K 0.136 0.159 0.346 [16 per cell]
Br 0.195 0.000 0.000 [8 per cell]
Cl 0.000 0.165 0.666 [8 per cell]

Results
The calculated volume comes out at 37.4 Å³ per atom. As for the total magnetization: 0.00 μB per cell. As for the theoretical density: 2.1 Mg/m³. The calculation puts the uncorrected formation energy at -13.65 eV per formula unit.


Record 8
Material: KCa2As
Method: DFT, PBE-GGA
State: relaxed

Lattice parameters (Å, degrees): 8.094 8.094 8.094 90.00 90.00 90.00
Space group F-43m (No. 216)
Asymmetric unit:
K 0.000 0.000 0.000 [4 per cell]
Ca 0.000 0.000 0.500 [4 per cell]
Ca 0.250 0.250 0.750 [4 per cell]
As 0.250 0.250 0.250 [4 per cell]

Results
The calculated volume comes out at 33.1 Å³ per atom. As for the total magnetization: 0.00 μB per cell. As for the theoretical density: 2.4 Mg/m³. The formation enthalpy at 0 K is -0.07 eV per atom.


Record 9
Material: PrNd2Ho
Method: DFT, PBE-GGA
State: relaxed

Lattice parameters (Å, degrees): 5.157 5.157 5.170 90.00 90.00 90.00
Space group P4/mmm (No. 123)
Asymmetric unit:
Pr 0.000 0.000 0.000 [1 per cell]
Nd 0.000 0.500 0.500 [2 per cell]
Ho 0.500 0.500 0.000 [1 per cell]

Results
The calculated volume comes out at 34.4 Å³ per atom. As for the total magnetization: 0.00 μB per cell. As for the theoretical density: 7.2 Mg/m³. The formation enthalpy at 0 K is 0.02 eV per atom.


Record 10
Material: DyPaAgHg
Method: DFT, PBE-GGA
State: relaxed

Lattice parameters (Å, degrees): 7.372 7.372 7.372 90.00 90.00 90.00
Space group F-43m (No. 216)
Asymmetric unit:
Dy 0.000 0.000 0.000 [4 per cell]
Pa 0.000 0.000 0.500 [4 per cell]
Ag 0.250 0.250 0.750 [4 per cell]
Hg 0.250 0.250 0.250 [4 per cell]

Results
The calculated volume comes out at 25.0 Å³ per atom. As for the total magnetization: 6.99 μB per cell. As for the theoretical density: 11.6 Mg/m³. The formation enthalpy at 0 K is 0.04 eV per atom.


Record 11
Material: ZnReN2
Method: DFT, PBE-GGA
State: relaxed

Lattice parameters (Å, degrees): 4.619 4.619 9.502 90.00 90.00 90.00
Space group I-42d (No. 122)
Asymmetric unit:
Zn 0.000 0.000 0.000 [4 per cell]
Re 0.000 0.000 0.500 [4 per cell]
N 0.224 0.250 0.625 [8 per cell]

Results
The calculated volume comes out at 12.7 Å³ per atom. As for the total magnetization: 0.00 μB per cell. As for the theoretical density: 9.2 Mg/m³. The calculation puts the uncorrected formation energy at 1.08 eV per formula unit.


Record 12
Material: Ti2MnZn
Method: DFT, PBE-GGA
State: relaxed

Lattice parameters (Å, degrees): 3.742 3.742 18.589 90.00 90.00 90.00
Space group I-42d (No. 122)
Asymmetric unit:
Ti 0.242 0.250 0.125 [8 per cell]
Mn 0.000 0.000 0.000 [4 per cell]
Zn 0.000 0.000 0.500 [4 per cell]

Results
The calculated volume comes out at 16.3 Å³ per atom. As for the total magnetization: 4.99 μB per cell. As for the theoretical density: 5.5 Mg/m³. The formation enthalpy at 0 K is 0.39 eV per atom.


What is the total magnetization in the fourth record?
0.00 μB per cell